[1]
A plane-wave DFT calculation with PBE-GGA was carried out for a geometry-optimized YSi3Ni structure.

Computed properties:
E_form (uncorrected): 16 meV per atom
Symmetry: Pm-3m
VASP energy: -5.69 eV per atom
M_tot: 0.0 μB/cell

a = 4.500 Å, b = 4.500 Å, c = 4.500 Å
α = 90.00°, β = 90.00°, γ = 90.00°
Element x y z (fractional)
Y 0.000 0.000 0.000
Si 0.000 0.500 0.500
Si 0.500 0.000 0.500
Si 0.500 0.500 0.000
Ni 0.500 0.500 0.500

[2]
A plane-wave DFT calculation with PBE-GGA was carried out for a geometry-optimized Y2Si7Ni12 structure.

Computed properties:
E_form (uncorrected): -684 meV per atom
Symmetry: P-6
VASP energy: -6.41 eV per atom
M_tot: 0.0 μB/cell

a = 9.206 Å, b = 9.206 Å, c = 3.697 Å
α = 90.00°, β = 90.00°, γ = 120.00°
Element x y z (fractional)
Y 0.000 0.000 0.000
Y 0.333 0.667 0.500
Si 0.061 0.450 0.000
Si 0.265 0.230 0.500
Si 0.389 0.939 0.000
Si 0.550 0.611 0.000
Si 0.667 0.333 0.000
Si 0.770 0.034 0.500
Si 0.966 0.735 0.500
Ni 0.040 0.282 0.500
Ni 0.111 0.722 0.000
Ni 0.242 0.960 0.500
Ni 0.278 0.389 0.000
Ni 0.388 0.185 0.000
Ni 0.553 0.427 0.500
Ni 0.573 0.127 0.500
Ni 0.611 0.889 0.000
Ni 0.718 0.758 0.500
Ni 0.797 0.612 0.000
Ni 0.815 0.203 0.000
Ni 0.873 0.447 0.500

[3]
A plane-wave DFT calculation with PBE-GGA was carried out for a geometry-optimized Y5SiNi2 structure.

Computed properties:
E_form (uncorrected): -427 meV per atom
Symmetry: I4/mcm
VASP energy: -6.59 eV per atom
M_tot: 0.0 μB/cell

a = 8.438 Å, b = 8.438 Å, c = 8.438 Å
α = 126.90°, β = 126.90°, γ = 78.41°
Element x y z (fractional)
Y 0.000 0.000 0.000
Y 0.020 0.520 0.825
Y 0.195 0.020 0.500
Y 0.305 0.805 0.825
Y 0.480 0.305 0.500
Y 0.500 0.500 0.000
Y 0.520 0.695 0.500
Y 0.695 0.195 0.175
Y 0.805 0.980 0.500
Y 0.980 0.480 0.175
Si 0.250 0.250 0.000
Si 0.750 0.750 0.000
Ni 0.125 0.375 0.500
Ni 0.375 0.875 0.249
Ni 0.625 0.125 0.751
Ni 0.875 0.625 0.500

[4]
A plane-wave DFT calculation with PBE-GGA was carried out for a geometry-optimized YSi2Ni structure.

Computed properties:
E_form (uncorrected): -85 meV per atom
Symmetry: Fm-3m
VASP energy: -5.86 eV per atom
M_tot: 0.0 μB/cell

a = 4.556 Å, b = 4.556 Å, c = 4.556 Å
α = 60.00°, β = 60.00°, γ = 60.00°
Element x y z (fractional)
Y 0.000 0.000 0.000
Si 0.250 0.250 0.250
Si 0.750 0.750 0.750
Ni 0.500 0.500 0.500

[5]
A plane-wave DFT calculation with PBE-GGA was carried out for a geometry-optimized Y3Si2Ni structure.

Computed properties:
E_form (uncorrected): -759 meV per atom
Symmetry: Pnma
VASP energy: -6.76 eV per atom
M_tot: 0.1 μB/cell

a = 11.292 Å, b = 4.119 Å, c = 11.343 Å
α = 90.00°, β = 90.00°, γ = 90.00°
Element x y z (fractional)
Y 0.059 0.250 0.125
Y 0.117 0.750 0.560
Y 0.212 0.250 0.804
Y 0.288 0.750 0.304
Y 0.383 0.250 0.060
Y 0.441 0.750 0.625
Y 0.559 0.250 0.375
Y 0.617 0.750 0.940
Y 0.712 0.250 0.696
Y 0.788 0.750 0.196
Y 0.883 0.250 0.440
Y 0.941 0.750 0.875
Si 0.027 0.750 0.313
Si 0.197 0.750 0.994
Si 0.303 0.250 0.494
Si 0.473 0.250 0.813
Si 0.527 0.750 0.187
Si 0.697 0.750 0.506
Si 0.803 0.250 0.006
Si 0.973 0.250 0.687
Ni 0.131 0.250 0.366
Ni 0.369 0.750 0.866
Ni 0.631 0.250 0.134
Ni 0.869 0.750 0.634

[6]
A plane-wave DFT calculation with PBE-GGA was carried out for a geometry-optimized YSi2Ni structure.

Computed properties:
E_form (uncorrected): -324 meV per atom
Symmetry: Pmmm
VASP energy: -6.10 eV per atom
M_tot: 0.0 μB/cell

a = 2.928 Å, b = 3.383 Å, c = 6.504 Å
α = 90.00°, β = 90.00°, γ = 90.00°
Element x y z (fractional)
Y 0.000 0.000 0.000
Si 0.500 0.500 0.316
Si 0.500 0.500 0.684
Ni 0.000 0.000 0.500

[7]
A plane-wave DFT calculation with PBE-GGA was carried out for a geometry-optimized YSi2Ni8 structure.

Computed properties:
E_form (uncorrected): 53 meV per atom
Symmetry: P4/mmm
VASP energy: -5.73 eV per atom
M_tot: 0.0 μB/cell

a = 4.857 Å, b = 4.857 Å, c = 7.453 Å
α = 90.00°, β = 90.00°, γ = 90.00°
Element x y z (fractional)
Y 0.000 0.000 0.000
Si 0.000 0.500 0.500
Si 0.500 0.000 0.500
Ni 0.254 0.254 0.299
Ni 0.254 0.254 0.701
Ni 0.254 0.746 0.299
Ni 0.254 0.746 0.701
Ni 0.746 0.254 0.299
Ni 0.746 0.254 0.701
Ni 0.746 0.746 0.299
Ni 0.746 0.746 0.701

[8]
A plane-wave DFT calculation with PBE-GGA was carried out for a geometry-optimized YSiNi2 structure.

Computed properties:
E_form (uncorrected): -428 meV per atom
Symmetry: Pmmm
VASP energy: -6.29 eV per atom
M_tot: 0.0 μB/cell

a = 3.677 Å, b = 3.814 Å, c = 4.975 Å
α = 90.00°, β = 90.00°, γ = 90.00°
Element x y z (fractional)
Y 0.000 0.000 0.000
Si 0.500 0.000 0.500
Ni 0.500 0.500 0.249
Ni 0.500 0.500 0.751

[9]
A plane-wave DFT calculation with PBE-GGA was carried out for a geometry-optimized Y3Si3Ni structure.

Computed properties:
E_form (uncorrected): -837 meV per atom
Symmetry: C2/m
VASP energy: -6.76 eV per atom
M_tot: 0.0 μB/cell

a = 5.605 Å, b = 5.605 Å, c = 13.585 Å
α = 109.09°, β = 109.09°, γ = 44.02°
Element x y z (fractional)
Y 0.030 0.030 0.380
Y 0.102 0.102 0.921
Y 0.248 0.248 0.227
Y 0.752 0.752 0.773
Y 0.898 0.898 0.079
Y 0.970 0.970 0.620
Si 0.361 0.361 0.457
Si 0.387 0.387 0.924
Si 0.452 0.452 0.764
Si 0.548 0.548 0.236
Si 0.613 0.613 0.076
Si 0.639 0.639 0.543
Ni 0.253 0.253 0.597
Ni 0.747 0.747 0.403

[10]
A plane-wave DFT calculation with PBE-GGA was carried out for a geometry-optimized Y2Si5Ni3 structure.

Computed properties:
E_form (uncorrected): -790 meV per atom
Symmetry: Ibam
VASP energy: -6.53 eV per atom
M_tot: 0.0 μB/cell

a = 7.881 Å, b = 7.881 Å, c = 7.881 Å
α = 104.84°, β = 90.13°, γ = 137.87°
Element x y z (fractional)
Y 0.131 0.237 0.367
Y 0.369 0.737 0.106
Y 0.631 0.263 0.894
Y 0.869 0.763 0.633
Si 0.016 0.750 0.266
Si 0.108 0.652 0.759
Si 0.250 0.250 0.000
Si 0.392 0.152 0.544
Si 0.484 0.750 0.734
Si 0.516 0.250 0.266
Si 0.608 0.848 0.456
Si 0.750 0.750 0.000
Si 0.892 0.348 0.241
Si 0.984 0.250 0.734
Ni 0.134 0.887 0.021
Ni 0.250 0.750 0.500
Ni 0.366 0.387 0.753
Ni 0.634 0.613 0.247
Ni 0.750 0.250 0.500
Ni 0.866 0.113 0.979

[11]
A plane-wave DFT calculation with PBE-GGA was carried out for a geometry-optimized YSi4Ni4 structure.

Computed properties:
E_form (uncorrected): -604 meV per atom
Symmetry: P4_2/nmc
VASP energy: -6.30 eV per atom
M_tot: 0.0 μB/cell

a = 5.641 Å, b = 5.641 Å, c = 7.796 Å
α = 90.00°, β = 90.00°, γ = 90.00°
Element x y z (fractional)
Y 0.250 0.750 0.250
Y 0.750 0.250 0.750
Si 0.039 0.250 0.070
Si 0.250 0.039 0.570
Si 0.250 0.461 0.570
Si 0.461 0.250 0.070
Si 0.539 0.750 0.930
Si 0.750 0.539 0.430
Si 0.750 0.961 0.430
Si 0.961 0.750 0.930
Ni 0.023 0.250 0.365
Ni 0.250 0.023 0.865
Ni 0.250 0.477 0.865
Ni 0.477 0.250 0.365
Ni 0.523 0.750 0.635
Ni 0.750 0.523 0.135
Ni 0.750 0.977 0.135
Ni 0.977 0.750 0.635

[12]
A plane-wave DFT calculation with PBE-GGA was carried out for a geometry-optimized Y2Si2Ni structure.

Computed properties:
E_form (uncorrected): -262 meV per atom
Symmetry: I4/mmm
VASP energy: -6.17 eV per atom
M_tot: 0.0 μB/cell

a = 8.686 Å, b = 8.686 Å, c = 8.686 Å
α = 156.73°, β = 156.73°, γ = 33.14°
Element x y z (fractional)
Y 0.101 0.101 0.000
Y 0.899 0.899 0.000
Si 0.250 0.750 0.500
Si 0.750 0.250 0.500
Ni 0.500 0.500 0.000